# 1
VASP calculation (PBE-GGA) on TbInAgPt after structural relaxation.

abc: 6.9091 6.9091 6.9091
angles: 90.00 90.00 90.00
Space group F-43m (No. 216)
Unique sites:
Tb: 0.0000 0.0000 0.0000
In: 0.0000 0.0000 0.5000
Ag: 0.2500 0.2500 0.7500
Pt: 0.2500 0.2500 0.2500

Calculated values
ΔH_f (0 K): -2.605 eV per formula unit


# 2
VASP calculation (PBE-GGA) on InTc2AgPt after structural relaxation.

abc: 5.0592 5.0592 4.9801
angles: 90.00 90.00 90.00
Space group P4/mmm (No. 123)
Unique sites:
In: 0.0000 0.0000 0.0000
Tc: 0.0000 0.5000 0.5000
Ag: 0.0000 0.0000 0.5000
Pt: 0.5000 0.5000 0.0000

Calculated values
ΔH_f (0 K): 9.761 eV per formula unit


# 3
VASP calculation (PBE-GGA) on InAgTe2Pt after structural relaxation.

abc: 5.3175 5.3175 5.2402
angles: 90.00 90.00 90.00
Space group P4/mmm (No. 123)
Unique sites:
In: 0.0000 0.0000 0.0000
Ag: 0.5000 0.5000 0.0000
Te: 0.0000 0.5000 0.5000
Pt: 0.5000 0.5000 0.5000

Calculated values
Formation energy (no corrections): 0.14 eV per atom


# 4
VASP calculation (PBE-GGA) on ThInAgPt after structural relaxation.

abc: 7.0782 7.0782 7.0782
angles: 90.00 90.00 90.00
Space group F-43m (No. 216)
Unique sites:
Th: 0.0000 0.0000 0.0000
In: 0.0000 0.0000 0.5000
Ag: 0.2500 0.2500 0.7500
Pt: 0.2500 0.2500 0.2500

Calculated values
ΔH_f (0 K): -2.322 eV per formula unit


# 5
VASP calculation (PBE-GGA) on TmInAgPt after structural relaxation.

abc: 6.8367 6.8367 6.8367
angles: 90.00 90.00 90.00
Space group F-43m (No. 216)
Unique sites:
Tm: 0.0000 0.0000 0.0000
In: 0.0000 0.0000 0.5000
Ag: 0.2500 0.2500 0.7500
Pt: 0.2500 0.2500 0.2500

Calculated values
ΔH_f (0 K): -2.675 eV per formula unit


# 6
VASP calculation (PBE-GGA) on UInAgPt after structural relaxation.

abc: 6.9296 6.9296 6.9296
angles: 90.00 90.00 90.00
Space group F-43m (No. 216)
Unique sites:
U: 0.0000 0.0000 0.0000
In: 0.0000 0.0000 0.5000
Ag: 0.2500 0.2500 0.2500
Pt: 0.2500 0.2500 0.7500

Calculated values
ΔH_f (0 K): -0.743 eV per formula unit


# 7
VASP calculation (PBE-GGA) on YInAgPt after structural relaxation.

abc: 6.9001 6.9001 6.9001
angles: 90.00 90.00 90.00
Space group F-43m (No. 216)
Unique sites:
Y: 0.0000 0.0000 0.0000
In: 0.0000 0.0000 0.5000
Ag: 0.2500 0.2500 0.7500
Pt: 0.2500 0.2500 0.2500

Calculated values
ΔH_f (0 K): -2.619 eV per formula unit


# 8
VASP calculation (PBE-GGA) on Zn2InAgPt after structural relaxation.

abc: 4.8126 4.8126 5.2765
angles: 90.00 90.00 90.00
Space group P4/mmm (No. 123)
Unique sites:
Zn: 0.0000 0.5000 0.0000
In: 0.0000 0.0000 0.5000
Ag: 0.5000 0.5000 0.5000
Pt: 0.5000 0.5000 0.0000

Calculated values
ΔH_f (0 K): 0.589 eV per formula unit


VASP energy: -75.5; -22.6; -17.2; -85.5; -75.1; -94.6; -82.9; -13.6 (eV/cell)
N(E_F): 2.094; 4.100; 3.227; 2.665; 2.224; 8.500; 2.305; 1.707 (states/eV/f.u.)